No. 1
Entry from the Alexandria database: a relaxed Dy2TiZn2Rh5 crystal (PBE).

Lattice parameters (Å, degrees): 3.463 9.855 9.855 90.00 90.00 90.00
Positions (direct):
Dy: 0.000 0.671 0.171
Dy: 0.000 0.329 0.829
Dy: 0.000 0.171 0.329
Dy: 0.000 0.829 0.671
Ti: 0.000 0.000 0.000
Ti: 0.000 0.500 0.500
Zn: 0.000 0.128 0.628
Zn: 0.000 0.872 0.372
Zn: 0.000 0.628 0.872
Zn: 0.000 0.372 0.128
Rh: 0.500 0.197 0.064
Rh: 0.500 0.803 0.936
Rh: 0.500 0.064 0.803
Rh: 0.500 0.697 0.436
Rh: 0.500 0.936 0.197
Rh: 0.500 0.303 0.564
Rh: 0.500 0.564 0.697
Rh: 0.500 0.436 0.303
Rh: 0.500 0.500 0.000
Rh: 0.500 0.000 0.500

Computed properties:
DFT formation energy (eV/f.u.): -6.7
Space-group type: No. 127

***

No. 2
Entry from the Alexandria database: a relaxed DyTiZnRh crystal (PBE).

Lattice parameters (Å, degrees): 4.699 4.699 4.699 60.00 60.00 60.00
Site moments in Bohr magnetons follow the coordinates.
Positions (direct):
Zn: 0.500 0.500 0.500  0.00
Ti: 0.250 0.250 0.250  0.54
Rh: 0.000 0.000 0.000  -0.05
Dy: 0.750 0.750 0.750  0.07

Computed properties:
DFT formation energy (eV/f.u.): -1.5
Space-group type: No. 216

***

No. 3
Entry from the Alexandria database: a relaxed Dy2ZrTi2Rh5 crystal (PBE).

Lattice parameters (Å, degrees): 3.595 10.048 10.048 90.00 90.00 90.00
Positions (direct):
Dy: 0.000 0.677 0.177
Dy: 0.000 0.323 0.823
Dy: 0.000 0.177 0.323
Dy: 0.000 0.823 0.677
Zr: 0.000 0.000 0.000
Zr: 0.000 0.500 0.500
Ti: 0.000 0.123 0.623
Ti: 0.000 0.877 0.377
Ti: 0.000 0.623 0.877
Ti: 0.000 0.377 0.123
Rh: 0.500 0.207 0.064
Rh: 0.500 0.793 0.936
Rh: 0.500 0.064 0.793
Rh: 0.500 0.707 0.436
Rh: 0.500 0.936 0.207
Rh: 0.500 0.293 0.564
Rh: 0.500 0.564 0.707
Rh: 0.500 0.436 0.293
Rh: 0.500 0.500 0.000
Rh: 0.500 0.000 0.500

Computed properties:
DFT formation energy (eV/f.u.): -6.9
Space-group type: No. 127

***

Question: What is the DFT formation energy in the third record?
Answer: -6.9 eV/f.u.